Entry from the Alexandria database: Hf2SN2 after structural relaxation (PBEsol).

Computed properties:
SG: Immm
Formation energy (no corrections) (meV per atom): -1845
Final energy (Ry/atom): -0.7595

Unit cell a=3.4764 b=4.1112 c=6.2703 alpha=109.14 beta=106.09 gamma=90.00
Closest atoms and distances in Å follow each position.
Positions (direct):
S  0.0000  0.0000  0.0000  4 Hf 2.63
Hf  0.3260  0.8260  0.6519  4 N 2.11-2.12
Hf  0.6740  0.1740  0.3481  4 N 2.11-2.12
N  0.7205  0.7205  0.4410  4 Hf 2.11-2.12
N  0.2795  0.2795  0.5590  4 Hf 2.11-2.12

Entry from the Alexandria database: RbOsIO2 after structural relaxation (PBEsol).

Computed properties:
SG: P4/mmm
Formation energy (no corrections) (meV per atom): -298
Energy above the most stable polymorph in this dataset (eV/atom): 0.0000
Final energy (Ry/atom): -0.3968

Unit cell a=4.1069 b=4.1069 c=5.6522 alpha=90.00 beta=90.00 gamma=90.00
Closest atoms and distances in Å follow each position.
Positions (direct):
I  0.0000  0.0000  0.5000  2 Os 2.83, 4 Rb 2.90
Os  0.0000  0.0000  0.0000  4 O 2.05
O  0.0000  0.5000  0.0000  2 Os 2.05
O  0.5000  0.0000  0.0000  2 Os 2.05
Rb  0.5000  0.5000  0.5000  4 I 2.90

Entry from the Alexandria database: CaNi2Br after structural relaxation (PBEsol).

Computed properties:
SG: Pm
Formation energy (no corrections) (meV per atom): -182
Energy above the most stable polymorph in this dataset (eV/atom): 0.0454
Final energy (Ry/atom): -0.3132

Unit cell a=3.3066 b=3.2852 c=6.9521 alpha=90.00 beta=104.12 gamma=90.00
Closest atoms and distances in Å follow each position.
Positions (direct):
Br  0.6881  0.0000  0.5111  4 Ca 2.91, 2 Ni 2.91
Ca  0.3200  0.5000  0.7686  1 Ni 2.61, 4 Br 2.91
Ni  0.9727  0.0000  0.0650  4 Ni 2.41
Ni  0.5192  0.5000  0.1553  4 Ni 2.41, 1 Ca 2.61

Entry from the Alexandria database: LaOs3I after structural relaxation (PBEsol).

Computed properties:
SG: Pm-3m
Formation energy (no corrections) (meV per atom): 1833
Final energy (Ry/atom): -0.5086

Unit cell a=4.8246 b=4.8246 c=4.8246 alpha=90.00 beta=90.00 gamma=90.00
Closest atoms and distances in Å follow each position.
Positions (direct):
I  0.0000  0.0000  0.0000  6 Os 2.41
Os  0.0000  0.5000  0.0000  2 I 2.41
Os  0.0000  0.0000  0.5000  2 I 2.41
Os  0.5000  0.0000  0.0000  2 I 2.41
La  0.5000  0.5000  0.5000  12 Os 3.41

Entry from the Alexandria database: Sr7W4O19 after structural relaxation (PBEsol).

Computed properties:
SG: C2/m
Formation energy (no corrections) (meV per atom): -2730
Final energy (Ry/atom): -0.6119

Unit cell a=5.5772 b=7.3789 c=10.4144 alpha=97.60 beta=90.00 gamma=112.20
Closest atoms and distances in Å follow each position.
Positions (direct):
Sr  0.1401  0.2801  0.9529  6 O 2.50-2.70
Sr  0.5832  0.1664  0.1613  6 O 2.47-2.60
Sr  0.2086  0.4171  0.5869  10 O 2.59-2.86
Sr  0.7914  0.5829  0.4131  10 O 2.59-2.86
Sr  0.4168  0.8336  0.8387  6 O 2.47-2.60
Sr  0.8599  0.7199  0.0471  6 O 2.50-2.70
Sr  0.5000  0.0000  0.5000  12 O 2.70-2.79
W  0.0362  0.0725  0.3192  6 O 1.85-2.01
W  0.6748  0.3496  0.7825  4 O 1.84-1.94
W  0.3252  0.6504  0.2175  4 O 1.84-1.94
W  0.9638  0.9275  0.6808  6 O 1.85-2.01
O  0.3125  0.1434  0.7148  2 W 1.99-2.07
O  0.8309  0.1434  0.7148  2 W 1.99-2.07
O  0.6001  0.2002  0.9281  1 W 1.94
O  0.0465  0.0929  0.1427  1 W 1.86
O  0.3703  0.2462  0.3709  1 W 1.85
O  0.8759  0.2462  0.3709  1 W 1.85
O  0.6957  0.3914  0.6103  1 W 1.86
O  0.0023  0.5176  0.8473  1 W 1.84
O  0.5153  0.5176  0.8473  1 W 1.84
O  0.4847  0.4824  0.1527  1 W 1.84
O  0.9977  0.4824  0.1527  1 W 1.84
O  0.3043  0.6086  0.3897  1 W 1.86
O  0.6297  0.7538  0.6291  1 W 1.85
O  0.1241  0.7538  0.6291  1 W 1.85
O  0.9535  0.9071  0.8573  1 W 1.86
O  0.3999  0.7998  0.0719  1 W 1.94
O  0.1691  0.8566  0.2852  2 W 1.99-2.07
O  0.6875  0.8566  0.2852  2 W 1.99-2.07
O  0.0000  0.0000  0.5000  2 W 2.01

Entry from the Alexandria database: TcSe2Cl after structural relaxation (PBEsol).

Computed properties:
SG: P4mm
Formation energy (no corrections) (meV per atom): 229
Energy above the most stable polymorph in this dataset (eV/atom): 0.0000
Final energy (Ry/atom): -0.3686

Unit cell a=3.2943 b=3.2943 c=7.0057 alpha=90.00 beta=90.00 gamma=90.00
Closest atoms and distances in Å follow each position.
Positions (direct):
Tc  0.0000  0.0000  0.4391  5 Se 2.55-2.56
Se  0.0000  0.0000  0.0743  1 Tc 2.56, 4 Se 2.78
Se  0.5000  0.5000  0.2898  4 Tc 2.55, 4 Se 2.78, 1 Cl 2.85
Cl  0.5000  0.5000  0.6968  1 Se 2.85, 4 Tc 2.95